Computed, not measured: a relaxed Cr2Rh crystal at the PBE level of DFT.

Calculated values
The value obtained for the density of states at the Fermi level is 8.67 states/eV per cell. As for the formation energy: 7.94 kcal/mol of atoms. As for the volume: 132.9 Å³ per cell.

Structure (CIF):
```
data_Cr2Rh
_chemical_formula_sum 'Cr6 Rh3'
_cell_length_a 6.3075
_cell_length_b 6.3075
_cell_length_c 3.8583
_cell_angle_alpha 90.00
_cell_angle_beta 90.00
_cell_angle_gamma 120.00
_space_group_name_H-M_alt 'P -6 2 m'
_space_group_IT_number 189
_space_group_name_Hall 'P -6 -2'
loop_
_atom_site_label
_atom_site_type_symbol
_atom_site_fract_x
_atom_site_fract_y
_atom_site_fract_z
_atom_site_occupancy
Cr1 Cr 0.0000 0.2552 0.0000 1
Cr2 Cr 0.0000 0.5829 0.5000 1
Rh1 Rh 0.0000 0.0000 0.5000 1
Rh2 Rh 0.3333 0.6667 0.0000 1
```



Computed, not measured: a relaxed Tb3ErBi2 crystal at the PBE level of DFT.

Calculated values
The value obtained for the density of states at the Fermi level is 28.00 states/eV per cell. For the polymorph energy (0 for the lowest one), the calculation gives 131.9 meV/atom. As for the formation energy: -10.85 kcal/mol of atoms. As for the volume: 734.0 Å³ per cell.

Structure (CIF):
```
data_Tb3ErBi2
_chemical_formula_sum 'Tb12 Er4 Bi8'
_cell_length_a 18.516
_cell_length_b 4.316
_cell_length_c 10.066
_cell_angle_alpha 90.00
_cell_angle_beta 114.14
_cell_angle_gamma 90.00
_space_group_name_H-M_alt 'C 1 2/m 1'
_space_group_IT_number 12
loop_
_space_group_symop_operation_xyz
'x,y,z'
'-x,-y,-z'
'-x,y,-z'
'x,-y,z'
'x+1/2,y+1/2,z'
'-x+1/2,-y+1/2,-z'
'-x+1/2,y+1/2,-z'
'x+1/2,-y+1/2,z'
loop_
_atom_site_label
_atom_site_type_symbol
_atom_site_fract_x
_atom_site_fract_y
_atom_site_fract_z
_atom_site_occupancy
Tb1 Tb 0.055 0.000 0.169 1
Tb2 Tb 0.142 0.500 0.978 1
Tb3 Tb 0.188 0.500 0.392 1
Er1 Er 0.110 0.000 0.604 1
Bi1 Bi 0.006 0.500 0.341 1
Bi2 Bi 0.247 0.500 0.780 1
```



Computed, not measured: a relaxed KTl2FeCl6 crystal at the PBE level of DFT.

Calculated values
The value obtained for the density of states at the Fermi level is 19.76 states/eV per cell. The formation energy (no corrections) comes out at -1.015 eV per atom. As for the volume: 570.1 Å³ per cell.

Structure (CIF):
```
data_KTl2FeCl6
_chemical_formula_sum 'K2 Tl4 Fe2 Cl12'
_cell_length_a 7.083
_cell_length_b 7.733
_cell_length_c 12.509
_cell_angle_alpha 90.00
_cell_angle_beta 123.70
_cell_angle_gamma 90.00
_space_group_name_H-M_alt 'P 1 21/c 1'
_space_group_IT_number 14
loop_
_space_group_symop_operation_xyz
'x,y,z'
'-x,-y,-z'
'-x,y+1/2,-z+1/2'
'x,-y+1/2,z+1/2'
loop_
_atom_site_label
_atom_site_type_symbol
_atom_site_fract_x
_atom_site_fract_y
_atom_site_fract_z
_atom_site_occupancy
K1 K 0.000 0.000 0.000 1
Tl1 Tl 0.222 0.061 0.743 1
Fe1 Fe 0.500 0.000 0.500 1
Cl1 Cl 0.203 0.161 0.471 1
Cl2 Cl 0.285 0.747 0.946 1
Cl3 Cl 0.373 0.040 0.289 1
```



Computed, not measured: a relaxed ErHgSe2 crystal at the PBE level of DFT.

Calculated values
The value obtained for the density of states at the Fermi level is 8.42 states/eV per cell. For the polymorph energy (0 for the lowest one), the calculation gives 0.0 meV/atom. The formation energy (no corrections) comes out at -1.053 eV per atom. As for the volume: 383.7 Å³ per cell.

Structure (CIF):
```
data_ErHgSe2
_chemical_formula_sum 'Er3 Hg3 Se6'
_cell_length_a 4.1422
_cell_length_b 4.1422
_cell_length_c 25.8237
_cell_angle_alpha 90.00
_cell_angle_beta 90.00
_cell_angle_gamma 120.00
_space_group_name_H-M_alt 'R -3 m'
_space_group_IT_number 166
_space_group_name_Hall '-R 3 2"'
loop_
_atom_site_label
_atom_site_type_symbol
_atom_site_fract_x
_atom_site_fract_y
_atom_site_fract_z
_atom_site_occupancy
Er1 Er 0.0000 0.0000 0.0000 1
Hg1 Hg 0.0000 0.0000 0.5000 1
Se1 Se 0.0000 0.0000 0.3928 1
```



Computed, not measured: a relaxed TiSiNi2Au crystal at the PBE level of DFT.

Calculated values
The value obtained for the density of states at the Fermi level is 7.65 states/eV per cell. The formation energy (no corrections) comes out at 0.293 eV per atom. As for the volume: 82.4 Å³ per cell.

Structure (CIF):
```
data_TiSiNi2Au
_chemical_formula_sum 'Ti1 Si1 Ni2 Au1'
_cell_length_a 4.212
_cell_length_b 4.212
_cell_length_c 4.644
_cell_angle_alpha 90.00
_cell_angle_beta 90.00
_cell_angle_gamma 90.00
_space_group_name_H-M_alt 'P 4/m m m'
_space_group_IT_number 123
_space_group_name_Hall '-P 4 2'
loop_
_atom_site_label
_atom_site_type_symbol
_atom_site_fract_x
_atom_site_fract_y
_atom_site_fract_z
_atom_site_occupancy
Ti1 Ti 0.000 0.000 0.000 1
Si1 Si 0.000 0.000 0.500 1
Ni1 Ni 0.000 0.500 0.500 1
Au1 Au 0.500 0.500 0.000 1
```



Computed, not measured: a relaxed BeCu2P crystal at the PBE level of DFT.

Calculated values
The value obtained for the density of states at the Fermi level is 0.90 states/eV per cell. For the polymorph energy (0 for the lowest one), the calculation gives 23.4 meV/atom. As for the formation energy: 1.47 kcal/mol of atoms. As for the volume: 46.0 Å³ per cell.

Structure (CIF):
```
data_BeCu2P
_chemical_formula_sum 'Be1 Cu2 P1'
_cell_length_a 3.118
_cell_length_b 3.118
_cell_length_c 4.736
_cell_angle_alpha 90.00
_cell_angle_beta 90.00
_cell_angle_gamma 90.00
_space_group_name_H-M_alt 'P 4 m m'
_space_group_IT_number 99
loop_
_space_group_symop_operation_xyz
'x,y,z'
'-y,x,z'
'-x,-y,z'
'y,-x,z'
'-x,y,z'
'y,x,z'
'x,-y,z'
'-y,-x,z'
loop_
_atom_site_label
_atom_site_type_symbol
_atom_site_fract_x
_atom_site_fract_y
_atom_site_fract_z
_atom_site_occupancy
Be1 Be 0.000 0.000 0.000 1
Cu1 Cu 0.000 0.000 0.509 1
Cu2 Cu 0.500 0.500 0.230 1
P1 P 0.500 0.500 0.749 1
```



What did the fourth record say?
Computed, not measured: a relaxed ErHgSe2 crystal at the PBE level of DFT.

Calculated values
The value obtained for the density of states at the Fermi level is 8.42 states/eV per cell. For the polymorph energy (0 for the lowest one), the calculation gives 0.0 meV/atom. The formation energy (no corrections) comes out at -1.053 eV per atom. As for the volume: 383.7 Å³ per cell.

Structure (CIF):
```
data_ErHgSe2
_chemical_formula_sum 'Er3 Hg3 Se6'
_cell_length_a 4.1422
_cell_length_b 4.1422
_cell_length_c 25.8237
_cell_angle_alpha 90.00
_cell_angle_beta 90.00
_cell_angle_gamma 120.00
_space_group_name_H-M_alt 'R -3 m'
_space_group_IT_number 166
_space_group_name_Hall '-R 3 2"'
loop_
_atom_site_label
_atom_site_type_symbol
_atom_site_fract_x
_atom_site_fract_y
_atom_site_fract_z
_atom_site_occupancy
Er1 Er 0.0000 0.0000 0.0000 1
Hg1 Hg 0.0000 0.0000 0.5000 1
Se1 Se 0.0000 0.0000 0.3928 1
```



> What is the volume in the third record?

570.1 Å³ per cell